Below is a geometry-optimized FeRe2I structure, with properties calculated at the PBE-GGA level. Values from VASP.

Quantum ESPRESSO input file:
```
&SYSTEM
  ibrav = 0, nat = 4, ntyp = 3
/
ATOMIC_SPECIES
I 126.90 I.upf
Re 186.21 Re.upf
Fe 55.84 Fe.upf
CELL_PARAMETERS angstrom
0.000 3.153 3.153
3.153 0.000 3.153
3.153 3.153 0.000
ATOMIC_POSITIONS crystal
I 0.500 0.500 0.500
Re 0.250 0.250 0.250
Re 0.750 0.750 0.750
Fe 0.000 0.000 0.000
```

Results
Its density of states at the Fermi level is 3.7 states/eV/f.u. For the magnetization, the calculation gives 2.40 μB per cell. The calculation puts the uncorrected formation energy at 1.18 eV per atom. Its offset from the most stable computed form is 0 meV/atom.

Below is a geometry-optimized CrReW2 structure, with properties calculated at the PBE-GGA level. Values from VASP.

Quantum ESPRESSO input file:
```
&SYSTEM
  ibrav = 0, nat = 4, ntyp = 3
/
ATOMIC_SPECIES
Re 186.21 Re.upf
W 183.84 W.upf
Cr 52.00 Cr.upf
CELL_PARAMETERS angstrom
3.095 0.000 0.000
0.000 3.095 0.000
0.000 0.000 6.196
ATOMIC_POSITIONS crystal
Re 0.500 0.500 0.745
W 0.000 0.000 0.995
W 0.500 0.500 0.266
Cr 0.000 0.000 0.494
```

Results
The formation energy comes out at 0.06 eV/atom. Its density of states at the Fermi level is 3.8 states/eV/f.u. For the magnetization, the calculation gives 0.00 μB per cell. Its offset from the most stable computed form is 33 meV/atom.

Below is a geometry-optimized AlZnTc2Bi structure, with properties calculated at the PBE-GGA level. Values from VASP.

Quantum ESPRESSO input file:
```
&SYSTEM
  ibrav = 0, nat = 5, ntyp = 4
/
ATOMIC_SPECIES
Zn 65.41 Zn.upf
Al 26.98 Al.upf
Bi 208.98 Bi.upf
Tc 98.00 Tc.upf
CELL_PARAMETERS angstrom
-2.940 1.671 -3.829
1.054 -4.155 -2.622
-4.039 -2.338 2.080
ATOMIC_POSITIONS crystal
Zn 0.000 0.500 0.000
Al 0.500 0.500 0.500
Bi 0.000 0.000 0.000
Tc 0.000 0.000 0.500
Tc 0.500 0.000 0.000
```

Results
The formation energy comes out at 1.85 eV/atom. Its density of states at the Fermi level is 5.6 states/eV/f.u. For the magnetization, the calculation gives 3.71 μB per cell.

Below is a geometry-optimized BeHgSeBr2 structure, with properties calculated at the PBE-GGA level. Values from VASP.

Quantum ESPRESSO input file:
```
&SYSTEM
  ibrav = 0, nat = 5, ntyp = 4
/
ATOMIC_SPECIES
Be 9.01 Be.upf
Se 78.96 Se.upf
Hg 200.59 Hg.upf
Br 79.90 Br.upf
CELL_PARAMETERS angstrom
-2.349 2.392 4.282
3.663 -2.302 3.295
3.230 4.266 -0.611
ATOMIC_POSITIONS crystal
Be 0.500 0.500 0.500
Se 0.000 0.000 0.500
Hg 0.000 0.000 0.000
Br 0.000 0.500 0.000
Br 0.500 0.000 0.000
```

Results
Its density of states at the Fermi level is 4.5 states/eV/f.u. For the magnetization, the calculation gives 0.31 μB per cell. The calculation puts the uncorrected formation energy at 0.76 eV per atom. Its offset from the most stable computed form is 791 meV/atom.

Below is a geometry-optimized RbHfReGe2 structure, with properties calculated at the PBE-GGA level. Values from VASP.

Quantum ESPRESSO input file:
```
&SYSTEM
  ibrav = 0, nat = 5, ntyp = 4
/
ATOMIC_SPECIES
Re 186.21 Re.upf
Ge 72.64 Ge.upf
Hf 178.49 Hf.upf
Rb 85.47 Rb.upf
CELL_PARAMETERS angstrom
-1.315 4.935 1.478
-4.749 -0.753 -1.712
-1.437 -1.817 4.785
ATOMIC_POSITIONS crystal
Re 0.000 0.500 0.000
Ge 0.000 0.000 0.500
Ge 0.500 0.000 0.000
Hf 0.000 0.000 0.000
Rb 0.500 0.500 0.500
```

Results
The formation energy comes out at 0.94 eV/atom. Its density of states at the Fermi level is 3.7 states/eV/f.u. For the magnetization, the calculation gives 2.37 μB per cell.

Below is a geometry-optimized SiPd3Au structure, with properties calculated at the PBE-GGA level. Values from VASP.

Quantum ESPRESSO input file:
```
&SYSTEM
  ibrav = 0, nat = 20, ntyp = 3
/
ATOMIC_SPECIES
Si 28.09 Si.upf
Pd 106.42 Pd.upf
Au 196.97 Au.upf
CELL_PARAMETERS angstrom
3.852 0.000 0.000
0.000 8.047 0.000
0.000 0.000 10.427
ATOMIC_POSITIONS crystal
Si 0.250 0.022 0.656
Si 0.250 0.522 0.844
Si 0.750 0.478 0.156
Si 0.750 0.978 0.344
Pd 0.250 0.617 0.062
Pd 0.750 0.383 0.938
Pd 0.250 0.117 0.438
Pd 0.750 0.883 0.562
Pd 0.250 0.319 0.677
Pd 0.750 0.181 0.177
Pd 0.250 0.819 0.823
Pd 0.750 0.587 0.715
Pd 0.250 0.413 0.285
Pd 0.750 0.087 0.785
Pd 0.750 0.681 0.323
Pd 0.250 0.913 0.215
Au 0.750 0.869 0.018
Au 0.250 0.631 0.518
Au 0.750 0.369 0.482
Au 0.250 0.131 0.982
```

Results
Its density of states at the Fermi level is 1.8 states/eV/f.u. For the magnetization, the calculation gives 0.00 μB per cell. The calculation puts the uncorrected formation energy at -0.39 eV per atom. Its offset from the most stable computed form is 0 meV/atom.